Cr2CdOs PBE relaxed; total magnetic moment = 4.78 μB per formula unit; V = 15.12 Å³/atom; energy of formation from the pure elements = 0.55 eV/atom
1.0
6.5504 0.0000 -0.0016
-2.6256 3.7612 0.1679
1.2983 0.7969 2.4894
Os Cd Cr
1 1 2
Direct
0.0000 0.5000 0.5000
0.5000 0.5000 0.0000
0.5000 0.0000 0.5000
0.0000 0.0000 0.0000